--- w ---
Crystalline SrNbF2 at its relaxed geometry. Source: Alexandria via LeMat-Bulk, functional GGA-PBE.

Results
V = 72.2 Å³ per cell
M_tot = 0.000 μB per formula unit

a = 8.2079 Å, b = 8.2079 Å, c = 8.2079 Å
α = 22.69°, β = 22.69°, γ = 22.69°
Fractional coordinates of all 4 atoms:
Sr 0.0000 0.0000 0.0000
Nb 0.5000 0.5000 0.5000
F 0.1015 0.1015 0.1015
F 0.8985 0.8985 0.8985

---

--- x ---
Crystalline SrNbF2 at its relaxed geometry. Source: Alexandria via LeMat-Bulk, functional GGA-PBE.

Results
V = 77.4 Å³ per cell
M_tot = 0.000 μB per formula unit

a = 6.7550 Å, b = 6.7550 Å, c = 6.7550 Å
α = 32.12°, β = 32.12°, γ = 32.12°
Fractional coordinates of all 4 atoms:
Sr 0.0000 0.0000 0.0000
Nb 0.5000 0.5000 0.5000
F 0.3851 0.3851 0.3851
F 0.6149 0.6149 0.6149

---

--- y ---
Crystalline SrNbF2 at its relaxed geometry. Source: Alexandria via LeMat-Bulk, functional GGA-PBE.

Results
V = 75.5 Å³ per cell
M_tot = 4.770 μB per formula unit

a = 4.7448 Å, b = 4.7448 Å, c = 4.7448 Å
α = 60.00°, β = 60.00°, γ = 60.00°
Fractional coordinates of all 4 atoms:
Sr 0.0000 0.0000 0.0000
Nb 0.5000 0.5000 0.5000
F 0.2500 0.2500 0.2500
F 0.7500 0.7500 0.7500

---

--- z ---
Crystalline SrNbF2 at its relaxed geometry. Source: Alexandria via LeMat-Bulk, functional GGA-PBE.

Results
V = 168.2 Å³ per cell
M_tot = 3.000 μB per formula unit

a = 6.7292 Å, b = 6.7292 Å, c = 6.7292 Å
α = 131.33°, β = 131.33°, γ = 71.28°
Fractional coordinates of all 8 atoms:
Sr 0.0000 0.0000 0.0000
Sr 0.7500 0.2500 0.5000
Nb 0.2500 0.7500 0.5000
Nb 0.5000 0.5000 0.0000
F 0.1352 0.6250 0.0102
F 0.3750 0.3852 0.5102
F 0.6148 0.1250 0.9898
F 0.8750 0.8648 0.4898

---

x is preferred energetically. Next in line: 377 meV/atom higher.

---

--- w ---
Crystalline TaNbF2 at its relaxed geometry. Source: Alexandria via LeMat-Bulk, functional GGA-PBE.

Results
V = 121.4 Å³ per cell
M_tot = 0.000 μB per formula unit

a = 5.8493 Å, b = 5.8493 Å, c = 5.8493 Å
α = 127.76°, β = 127.76°, γ = 77.01°
Fractional coordinates of all 8 atoms:
Ta 0.0000 0.0000 0.0000
Ta 0.7500 0.2500 0.5000
Nb 0.2500 0.7500 0.5000
Nb 0.5000 0.5000 0.0000
F 0.1205 0.6250 0.9955
F 0.3750 0.3705 0.4955
F 0.6295 0.1250 0.0045
F 0.8750 0.8795 0.5045

---

--- x ---
Crystalline TaNbF2 at its relaxed geometry. Source: Alexandria via LeMat-Bulk, functional GGA-PBE.

Results
V = 55.8 Å³ per cell
M_tot = 0.000 μB per formula unit

a = 8.0668 Å, b = 8.0668 Å, c = 8.0668 Å
α = 20.40°, β = 20.40°, γ = 20.40°
Fractional coordinates of all 4 atoms:
Ta 0.0000 0.0000 0.0000
Nb 0.5000 0.5000 0.5000
F 0.0989 0.0989 0.0989
F 0.9011 0.9011 0.9011

---

x is preferred energetically. Next in line: 672 meV/atom higher.

---

--- w ---
Crystalline TaNbF3 at its relaxed geometry. Source: Alexandria via LeMat-Bulk, functional GGA-PBE.

Results
V = 80.8 Å³ per cell
M_tot = 6.712 μB per formula unit

a = 4.3230 Å, b = 4.3230 Å, c = 4.3230 Å
α = 90.00°, β = 90.00°, γ = 90.00°
Fractional coordinates of all 5 atoms:
Ta 0.0000 0.0000 0.0000
Nb 0.5000 0.5000 0.5000
F 0.0000 0.0000 0.5000
F 0.0000 0.5000 0.0000
F 0.5000 0.0000 0.0000

---

--- x ---
Crystalline TaNbF3 at its relaxed geometry. Source: Alexandria via LeMat-Bulk, functional GGA-PBE.

Results
V = 82.7 Å³ per cell
M_tot = 6.440 μB per formula unit

a = 4.3571 Å, b = 4.3571 Å, c = 4.3571 Å
α = 90.00°, β = 90.00°, γ = 90.00°
Fractional coordinates of all 5 atoms:
Ta 0.0000 0.0000 0.0000
Nb 0.5000 0.5000 0.5000
F 0.0000 0.5000 0.5000
F 0.5000 0.0000 0.5000
F 0.5000 0.5000 0.0000

---

w is preferred energetically. Next in line: 138 meV/atom higher.

---

--- w ---
Crystalline NbTcF2 at its relaxed geometry. Source: Alexandria via LeMat-Bulk, functional GGA-PBE.

Results
V = 54.0 Å³ per cell
M_tot = 0.000 μB per formula unit

a = 8.4364 Å, b = 8.4364 Å, c = 8.4364 Å
α = 18.72°, β = 18.72°, γ = 18.72°
Fractional coordinates of all 4 atoms:
Nb 0.0000 0.0000 0.0000
Tc 0.5000 0.5000 0.5000
F 0.0838 0.0838 0.0838
F 0.9162 0.9162 0.9162

---

--- x ---
Crystalline NbTcF2 at its relaxed geometry. Source: Alexandria via LeMat-Bulk, functional GGA-PBE.

Results
V = 53.6 Å³ per cell
M_tot = 1.956 μB per formula unit

a = 4.2324 Å, b = 4.2324 Å, c = 4.2324 Å
α = 60.00°, β = 60.00°, γ = 60.00°
Fractional coordinates of all 4 atoms:
Nb 0.0000 0.0000 0.0000
Tc 0.5000 0.5000 0.5000
F 0.2500 0.2500 0.2500
F 0.7500 0.7500 0.7500

---

--- y ---
Crystalline NbTcF2 at its relaxed geometry. Source: Alexandria via LeMat-Bulk, functional GGA-PBE.

Results
V = 52.2 Å³ per cell
M_tot = 0.000 μB per formula unit

a = 7.9580 Å, b = 7.9580 Å, c = 7.9580 Å
α = 20.12°, β = 20.12°, γ = 20.12°
Fractional coordinates of all 4 atoms:
Nb 0.0000 0.0000 0.0000
Tc 0.5000 0.5000 0.5000
F 0.4047 0.4047 0.4047
F 0.5953 0.5953 0.5953

---

--- z ---
Crystalline NbTcF2 at its relaxed geometry. Source: Alexandria via LeMat-Bulk, functional GGA-PBE.

Results
V = 119.0 Å³ per cell
M_tot = 0.133 μB per formula unit

a = 5.9286 Å, b = 5.9286 Å, c = 5.9286 Å
α = 130.11°, β = 130.11°, γ = 73.23°
Fractional coordinates of all 8 atoms:
Nb 0.0000 0.0000 0.0000
Nb 0.7500 0.2500 0.5000
Tc 0.2500 0.7500 0.5000
Tc 0.5000 0.5000 0.0000
F 0.1270 0.6250 0.0020
F 0.3750 0.3770 0.5020
F 0.6230 0.1250 0.9980
F 0.8750 0.8730 0.4980

---

y is preferred energetically. Next in line: 183 meV/atom higher.

---

--- w ---
Crystalline Nb3TcF at its relaxed geometry. Source: Alexandria via LeMat-Bulk, functional GGA-PBE.

Results
V = 113.6 Å³ per cell
M_tot = 0.312 μB per formula unit

a = 4.8435 Å, b = 4.8435 Å, c = 4.8435 Å
α = 90.00°, β = 90.00°, γ = 90.00°
Fractional coordinates of all 5 atoms:
Nb 0.0000 0.0000 0.5000
Nb 0.0000 0.5000 0.0000
Nb 0.5000 0.0000 0.0000
Tc 0.0000 0.0000 0.0000
F 0.5000 0.5000 0.5000

---

--- x ---
Crystalline Nb3TcF at its relaxed geometry. Source: Alexandria via LeMat-Bulk, functional GGA-PBE.

Results
V = 79.2 Å³ per cell
M_tot = 0.000 μB per formula unit

a = 4.2940 Å, b = 4.2940 Å, c = 4.2940 Å
α = 90.00°, β = 90.00°, γ = 90.00°
Fractional coordinates of all 5 atoms:
Nb 0.0000 0.0000 0.5000
Nb 0.0000 0.5000 0.0000
Nb 0.5000 0.0000 0.0000
Tc 0.5000 0.5000 0.5000
F 0.0000 0.0000 0.0000

---

x is preferred energetically. Next in line: 940 meV/atom higher.

---

--- w ---
Crystalline NbTc2F at its relaxed geometry. Source: Alexandria via LeMat-Bulk, functional GGA-PBE.

Results
V = 59.3 Å³ per cell
M_tot = 0.000 μB per formula unit

a = 4.3767 Å, b = 4.3767 Å, c = 4.3767 Å
α = 60.00°, β = 60.00°, γ = 60.00°
Fractional coordinates of all 4 atoms:
Nb 0.0000 0.0000 0.0000
Tc 0.2500 0.2500 0.2500
Tc 0.7500 0.7500 0.7500
F 0.5000 0.5000 0.5000

---

--- x ---
Crystalline NbTc2F at its relaxed geometry. Source: Alexandria via LeMat-Bulk, functional GGA-PBE.

Results
V = 117.2 Å³ per cell
M_tot = 0.000 μB per formula unit

a = 5.4551 Å, b = 5.4551 Å, c = 5.4551 Å
α = 101.98°, β = 101.98°, γ = 125.79°
Fractional coordinates of all 8 atoms:
Nb 0.0000 0.0000 0.0000
Nb 0.7500 0.2500 0.5000
Tc 0.1784 0.1250 0.5534
Tc 0.3750 0.8216 0.9466
Tc 0.5716 0.6250 0.4466
Tc 0.8750 0.4284 0.0534
F 0.2500 0.7500 0.5000
F 0.5000 0.5000 0.0000

---

x is preferred energetically. Next in line: 99 meV/atom higher.

---

--- w ---
Crystalline Nb2TeF at its relaxed geometry. Source: Alexandria via LeMat-Bulk, functional GGA-PBE.

Results
V = 69.4 Å³ per cell
M_tot = 0.926 μB per formula unit

a = 4.6134 Å, b = 4.6134 Å, c = 4.6134 Å
α = 60.00°, β = 60.00°, γ = 60.00°
Fractional coordinates of all 4 atoms:
Nb 0.2500 0.2500 0.2500
Nb 0.7500 0.7500 0.7500
Te 0.0000 0.0000 0.0000
F 0.5000 0.5000 0.5000

---

--- x ---
Crystalline Nb2TeF at its relaxed geometry. Source: Alexandria via LeMat-Bulk, functional GGA-PBE.

Results
V = 163.1 Å³ per cell
M_tot = 0.000 μB per formula unit

a = 8.5284 Å, b = 8.5284 Å, c = 8.5284 Å
α = 149.10°, β = 149.10°, γ = 44.26°
Fractional coordinates of all 8 atoms:
Nb 0.0285 0.6250 0.9035
Nb 0.3750 0.2785 0.4035
Nb 0.7215 0.1250 0.0965
Nb 0.8750 0.9715 0.5965
Te 0.2500 0.7500 0.5000
Te 0.5000 0.5000 0.0000
F 0.0000 0.0000 0.0000
F 0.7500 0.2500 0.5000

---

w is preferred energetically. Next in line: 49 meV/atom higher.

---

--- w ---
Crystalline NbTe2F at its relaxed geometry. Source: Alexandria via LeMat-Bulk, functional GGA-PBE.

Results
V = 83.8 Å³ per cell
M_tot = 0.000 μB per formula unit

a = 10.1779 Å, b = 10.1779 Å, c = 10.1779 Å
α = 17.57°, β = 17.57°, γ = 17.57°
Fractional coordinates of all 4 atoms:
Nb 0.0000 0.0000 0.0000
Te 0.0954 0.0954 0.0954
Te 0.9046 0.9046 0.9046
F 0.5000 0.5000 0.5000

---

--- x ---
Crystalline NbTe2F at its relaxed geometry. Source: Alexandria via LeMat-Bulk, functional GGA-PBE.

Results
V = 234.5 Å³ per cell
M_tot = 0.000 μB per formula unit

a = 7.2285 Å, b = 7.2285 Å, c = 7.2285 Å
α = 126.79°, β = 126.79°, γ = 78.59°
Fractional coordinates of all 8 atoms:
Nb 0.0000 0.0000 0.0000
Nb 0.7500 0.2500 0.5000
Te 0.1175 0.6250 0.9925
Te 0.3750 0.3675 0.4925
Te 0.6325 0.1250 0.0075
Te 0.8750 0.8825 0.5075
F 0.2500 0.7500 0.5000
F 0.5000 0.5000 0.0000

---

--- y ---
Crystalline NbTe2F at its relaxed geometry. Source: Alexandria via LeMat-Bulk, functional GGA-PBE.

Results
V = 80.4 Å³ per cell
M_tot = 0.896 μB per formula unit

a = 4.8441 Å, b = 4.8441 Å, c = 4.8441 Å
α = 60.00°, β = 60.00°, γ = 60.00°
Fractional coordinates of all 4 atoms:
Nb 0.0000 0.0000 0.0000
Te 0.2500 0.2500 0.2500
Te 0.7500 0.7500 0.7500
F 0.5000 0.5000 0.5000

---

y is preferred energetically. Next in line: 122 meV/atom higher.